KCrO3 PBE with a Hubbard U optimized geometry; space-group type = Pm-3m; VASP energy = -16.244 eV for the cell shown; size of the total moment = 1.586 μB/f.u.
1.0
4.188 0.000 0.000
0.000 4.188 0.000
0.000 0.000 4.188
K Cr O
1 1 3
Direct
0.000 0.000 0.000 K
0.500 0.500 0.500 Cr
0.000 0.000 0.500 O
0.000 0.500 0.000 O
0.500 0.000 0.000 O